First-principles (GGA-PBE) data for crystalline KYTe2 at its relaxed geometry, as listed in Alexandria via LeMat-Bulk.

Output
Total energy ... -4.70 eV/atom
Crystal system ... monoclinic
Magnetic moment ... 0.0000 μB/atom
Uncorrected formation energy ... -1237 meV per atom

The structure in CIF format:
```
data_KYTe2
_space_group_name_H-M_alt 'P 1'
_space_group_IT_number 1
_cell_length_a 8.870
_cell_length_b 8.870
_cell_length_c 4.309
_cell_angle_alpha 103.95
_cell_angle_beta 103.95
_cell_angle_gamma 26.48
loop_
_space_group_symop_operation_xyz
'x,y,z'
loop_
_atom_site_label
_atom_site_type_symbol
_atom_site_fract_x
_atom_site_fract_y
_atom_site_fract_z
_atom_site_occupancy
K1 K 0.207 0.207 0.958 1
Te1 Te 0.026 0.026 0.275 1
Te2 Te 0.817 0.817 0.568 1
Y1 Y 0.449 0.449 0.698 1
```

First-principles (GGA-PBE) data for crystalline KY2Te at its relaxed geometry, as listed in Alexandria via LeMat-Bulk.

Output
Total energy ... -4.40 eV/atom
Crystal system ... monoclinic
Magnetic moment ... 0.0001 μB/atom
Uncorrected formation energy ... -105 meV per atom

The structure in CIF format:
```
data_KY2Te
_space_group_name_H-M_alt 'P 1'
_space_group_IT_number 1
_cell_length_a 6.770
_cell_length_b 6.770
_cell_length_c 3.811
_cell_angle_alpha 73.81
_cell_angle_beta 73.81
_cell_angle_gamma 116.39
loop_
_space_group_symop_operation_xyz
'x,y,z'
loop_
_atom_site_label
_atom_site_type_symbol
_atom_site_fract_x
_atom_site_fract_y
_atom_site_fract_z
_atom_site_occupancy
K1 K 0.500 0.000 0.500 1
Te1 Te 0.000 0.500 0.500 1
Y1 Y 0.000 0.000 0.000 1
Y2 Y 0.500 0.500 0.000 1
```

First-principles (GGA-PBE) data for crystalline KYTe2 at its relaxed geometry, as listed in Alexandria via LeMat-Bulk.

Output
Total energy ... -3.79 eV/atom
Crystal system ... trigonal
Magnetic moment ... 0.0001 μB/atom
Uncorrected formation energy ... -326 meV per atom

The structure in CIF format:
```
data_KYTe2
_space_group_name_H-M_alt 'P 1'
_space_group_IT_number 1
_cell_length_a 11.170
_cell_length_b 11.170
_cell_length_c 11.170
_cell_angle_alpha 21.14
_cell_angle_beta 21.14
_cell_angle_gamma 21.14
loop_
_space_group_symop_operation_xyz
'x,y,z'
loop_
_atom_site_label
_atom_site_type_symbol
_atom_site_fract_x
_atom_site_fract_y
_atom_site_fract_z
_atom_site_occupancy
Y1 Y 0.000 0.000 0.000 1
K1 K 0.500 0.500 0.500 1
Te1 Te 0.912 0.912 0.912 1
Te2 Te 0.088 0.088 0.088 1
```

First-principles (GGA-PBE) data for crystalline KY2Te at its relaxed geometry, as listed in Alexandria via LeMat-Bulk.

Output
Total energy ... -4.60 eV/atom
Crystal system ... tetragonal
Magnetic moment ... 0.2080 μB/atom
Uncorrected formation energy ... -306 meV per atom

The structure in CIF format:
```
data_KY2Te
_space_group_name_H-M_alt 'P 1'
_space_group_IT_number 1
_cell_length_a 3.774
_cell_length_b 3.774
_cell_length_c 10.573
_cell_angle_alpha 90.00
_cell_angle_beta 90.00
_cell_angle_gamma 89.99
loop_
_space_group_symop_operation_xyz
'x,y,z'
loop_
_atom_site_label
_atom_site_type_symbol
_atom_site_fract_x
_atom_site_fract_y
_atom_site_fract_z
_atom_site_occupancy
K1 K 0.500 0.500 0.250 1
Te1 Te 0.500 0.500 0.750 1
Y1 Y 0.000 0.000 0.918 1
Y2 Y 0.000 0.000 0.582 1
```

First-principles (GGA-PBE) data for crystalline KY3Te at its relaxed geometry, as listed in Alexandria via LeMat-Bulk.

Output
Total energy ... -3.68 eV/atom
Crystal system ... cubic
Offset from the most stable computed form ... 4.89 eV/f.u.
Magnetic moment ... 0.0000 μB/atom
Uncorrected formation energy ... 1044 meV per atom

The structure in CIF format:
```
data_KY3Te
_space_group_name_H-M_alt 'P 1'
_space_group_IT_number 1
_cell_length_a 5.494
_cell_length_b 5.494
_cell_length_c 5.494
_cell_angle_alpha 90.00
_cell_angle_beta 90.00
_cell_angle_gamma 90.00
loop_
_space_group_symop_operation_xyz
'x,y,z'
loop_
_atom_site_label
_atom_site_type_symbol
_atom_site_fract_x
_atom_site_fract_y
_atom_site_fract_z
_atom_site_occupancy
Y1 Y 0.000 0.500 0.000 1
Y2 Y 0.000 0.000 0.500 1
Y3 Y 0.500 0.000 0.000 1
K1 K 0.000 0.000 0.000 1
Te1 Te 0.500 0.500 0.500 1
```

First-principles (GGA-PBE) data for crystalline KYZnTe3 at its relaxed geometry, as listed in Alexandria via LeMat-Bulk.

Output
Total energy ... -4.11 eV/atom
Crystal system ... monoclinic
Magnetic moment ... 0.0000 μB/atom
Uncorrected formation energy ... -1071 meV per atom

The structure in CIF format:
```
data_KYZnTe3
_space_group_name_H-M_alt 'P 1'
_space_group_IT_number 1
_cell_length_a 4.398
_cell_length_b 9.697
_cell_length_c 10.505
_cell_angle_alpha 108.29
_cell_angle_beta 90.00
_cell_angle_gamma 90.00
loop_
_space_group_symop_operation_xyz
'x,y,z'
loop_
_atom_site_label
_atom_site_type_symbol
_atom_site_fract_x
_atom_site_fract_y
_atom_site_fract_z
_atom_site_occupancy
K1 K 0.250 0.209 0.238 1
K2 K 0.750 0.791 0.762 1
Y1 Y 0.250 0.672 0.140 1
Y2 Y 0.750 0.328 0.860 1
Zn1 Zn 0.250 0.083 0.605 1
Zn2 Zn 0.750 0.917 0.395 1
Te1 Te 0.750 0.897 0.138 1
Te2 Te 0.250 0.103 0.862 1
Te3 Te 0.250 0.789 0.464 1
Te4 Te 0.750 0.211 0.536 1
Te5 Te 0.750 0.460 0.166 1
Te6 Te 0.250 0.540 0.834 1
```

First-principles (GGA-PBE) data for crystalline K2YZn2Te4 at its relaxed geometry, as listed in Alexandria via LeMat-Bulk.

Output
Total energy ... -3.50 eV/atom
Crystal system ... monoclinic
Magnetic moment ... 0.0001 μB/atom
Uncorrected formation energy ... -859 meV per atom

The structure in CIF format:
```
data_K2YZn2Te4
_space_group_name_H-M_alt 'P 1'
_space_group_IT_number 1
_cell_length_a 4.636
_cell_length_b 8.362
_cell_length_c 8.509
_cell_angle_alpha 108.78
_cell_angle_beta 105.81
_cell_angle_gamma 90.00
loop_
_space_group_symop_operation_xyz
'x,y,z'
loop_
_atom_site_label
_atom_site_type_symbol
_atom_site_fract_x
_atom_site_fract_y
_atom_site_fract_z
_atom_site_occupancy
K1 K 0.130 0.564 0.261 1
K2 K 0.870 0.436 0.739 1
Y1 Y 0.000 0.000 0.000 1
Zn1 Zn 0.674 0.992 0.348 1
Zn2 Zn 0.326 0.008 0.652 1
Te1 Te 0.203 0.179 0.406 1
Te2 Te 0.797 0.821 0.594 1
Te3 Te 0.513 0.757 0.026 1
Te4 Te 0.487 0.243 0.974 1
```

First-principles (GGA-PBE) data for crystalline K2YZrTe4 at its relaxed geometry, as listed in Alexandria via LeMat-Bulk.

Output
Total energy ... -4.89 eV/atom
Crystal system ... monoclinic
Magnetic moment ... 0.0001 μB/atom
Uncorrected formation energy ... -1166 meV per atom

The structure in CIF format:
```
data_K2YZrTe4
_space_group_name_H-M_alt 'P 1'
_space_group_IT_number 1
_cell_length_a 4.314
_cell_length_b 7.548
_cell_length_c 8.688
_cell_angle_alpha 106.51
_cell_angle_beta 90.00
_cell_angle_gamma 90.00
loop_
_space_group_symop_operation_xyz
'x,y,z'
loop_
_atom_site_label
_atom_site_type_symbol
_atom_site_fract_x
_atom_site_fract_y
_atom_site_fract_z
_atom_site_occupancy
K1 K 0.500 0.000 0.500 1
K2 K 0.000 0.500 0.500 1
Y1 Y 0.000 0.000 0.000 1
Zr1 Zr 0.500 0.500 0.000 1
Te1 Te 0.500 0.247 0.209 1
Te2 Te 0.500 0.753 0.791 1
Te3 Te 0.000 0.275 0.795 1
Te4 Te 0.000 0.725 0.205 1
```

First-principles (GGA-PBE) data for crystalline K4Y3ZrTe8 at its relaxed geometry, as listed in Alexandria via LeMat-Bulk.

Output
Total energy ... -4.87 eV/atom
Crystal system ... trigonal
Magnetic moment ... 0.0491 μB/atom
Uncorrected formation energy ... -1283 meV per atom

The structure in CIF format:
```
data_K4Y3ZrTe8
_space_group_name_H-M_alt 'P 1'
_space_group_IT_number 1
_cell_length_a 8.853
_cell_length_b 9.723
_cell_length_c 8.854
_cell_angle_alpha 117.11
_cell_angle_beta 120.00
_cell_angle_gamma 90.00
loop_
_space_group_symop_operation_xyz
'x,y,z'
loop_
_atom_site_label
_atom_site_type_symbol
_atom_site_fract_x
_atom_site_fract_y
_atom_site_fract_z
_atom_site_occupancy
K1 K 0.500 0.000 0.000 1
K2 K 0.500 0.000 0.500 1
K3 K 0.000 0.000 0.000 1
K4 K 0.000 0.000 0.500 1
Y1 Y 0.500 0.500 0.000 1
Y2 Y 0.500 0.500 0.500 1
Y3 Y 0.000 0.500 0.500 1
Zr1 Zr 0.000 0.500 0.000 1
Te1 Te 0.230 0.706 0.976 1
Te2 Te 0.230 0.706 0.461 1
Te3 Te 0.263 0.289 0.526 1
Te4 Te 0.746 0.706 0.976 1
Te5 Te 0.254 0.294 0.024 1
Te6 Te 0.737 0.711 0.474 1
Te7 Te 0.770 0.294 0.539 1
Te8 Te 0.770 0.294 0.024 1
```

First-principles (GGA-PBE) data for crystalline K3Y3ZrTe8 at its relaxed geometry, as listed in Alexandria via LeMat-Bulk.

Output
Total energy ... -5.05 eV/atom
Crystal system ... trigonal
Magnetic moment ... 0.0000 μB/atom
Uncorrected formation energy ... -1290 meV per atom

The structure in CIF format:
```
data_K3Y3ZrTe8
_space_group_name_H-M_alt 'P 1'
_space_group_IT_number 1
_cell_length_a 8.779
_cell_length_b 8.777
_cell_length_c 9.847
_cell_angle_alpha 116.46
_cell_angle_beta 90.00
_cell_angle_gamma 120.01
loop_
_space_group_symop_operation_xyz
'x,y,z'
loop_
_atom_site_label
_atom_site_type_symbol
_atom_site_fract_x
_atom_site_fract_y
_atom_site_fract_z
_atom_site_occupancy
K1 K 0.000 0.000 0.000 1
K2 K 0.000 0.500 0.000 1
K3 K 0.500 0.500 0.000 1
Y1 Y 0.500 0.000 0.500 1
Y2 Y 0.500 0.500 0.500 1
Y3 Y 0.000 0.500 0.500 1
Zr1 Zr 0.000 0.000 0.500 1
Te1 Te 0.263 0.527 0.291 1
Te2 Te 0.737 0.473 0.709 1
Te3 Te 0.772 0.545 0.298 1
Te4 Te 0.228 0.455 0.702 1
Te5 Te 0.772 0.026 0.298 1
Te6 Te 0.228 0.974 0.702 1
Te7 Te 0.253 0.026 0.298 1
Te8 Te 0.747 0.974 0.702 1
```

First-principles (GGA-PBE) data for crystalline K3Y2ZrTe6 at its relaxed geometry, as listed in Alexandria via LeMat-Bulk.

Output
Total energy ... -4.87 eV/atom
Crystal system ... monoclinic
Magnetic moment ... 0.0643 μB/atom
Uncorrected formation energy ... -1239 meV per atom

The structure in CIF format:
```
data_K3Y2ZrTe6
_space_group_name_H-M_alt 'P 1'
_space_group_IT_number 1
_cell_length_a 7.621
_cell_length_b 7.621
_cell_length_c 8.667
_cell_angle_alpha 98.45
_cell_angle_beta 98.45
_cell_angle_gamma 120.01
loop_
_space_group_symop_operation_xyz
'x,y,z'
loop_
_atom_site_label
_atom_site_type_symbol
_atom_site_fract_x
_atom_site_fract_y
_atom_site_fract_z
_atom_site_occupancy
K1 K 0.170 0.830 0.500 1
K2 K 0.830 0.170 0.500 1
K3 K 0.500 0.500 0.500 1
Y1 Y 0.334 0.666 0.000 1
Y2 Y 0.666 0.334 0.000 1
Zr1 Zr 0.000 0.000 0.000 1
Te1 Te 0.931 0.609 0.793 1
Te2 Te 0.748 0.748 0.208 1
Te3 Te 0.069 0.391 0.207 1
Te4 Te 0.609 0.931 0.793 1
Te5 Te 0.252 0.252 0.792 1
Te6 Te 0.391 0.069 0.207 1
```

First-principles (GGA-PBE) data for crystalline KZn3Te at its relaxed geometry, as listed in Alexandria via LeMat-Bulk.

Output
Total energy ... -1.29 eV/atom
Crystal system ... cubic
Offset from the most stable computed form ... 0.00 eV/f.u.
Magnetic moment ... 0.0000 μB/atom
Uncorrected formation energy ... 319 meV per atom

The structure in CIF format:
```
data_KZn3Te
_space_group_name_H-M_alt 'P 1'
_space_group_IT_number 1
_cell_length_a 5.637
_cell_length_b 5.637
_cell_length_c 5.637
_cell_angle_alpha 90.00
_cell_angle_beta 90.00
_cell_angle_gamma 90.00
loop_
_space_group_symop_operation_xyz
'x,y,z'
loop_
_atom_site_label
_atom_site_type_symbol
_atom_site_fract_x
_atom_site_fract_y
_atom_site_fract_z
_atom_site_occupancy
Zn1 Zn 0.000 0.500 0.000 1
Zn2 Zn 0.000 0.000 0.500 1
Zn3 Zn 0.500 0.000 0.000 1
Te1 Te 0.000 0.000 0.000 1
K1 K 0.500 0.500 0.500 1
```